PBE Ce5HPb4, relaxed; E_tot = -49.71 eV/cell; space-group type = I4, No. 79; theoretical density = 8.15 Mg/m³
1.0
6.4258 0.0000 0.0000
3.2129 6.9642 0.0000
3.2129 0.0000 6.9642
Ce H Pb
5 1 4
direct
0.9056 0.3723 0.8213
0.2779 0.8213 0.6277
0.7269 0.1787 0.3723
0.0992 0.6277 0.1787
0.4280 0.0000 0.0000
0.0470 0.0000 0.0000
0.4196 0.3910 0.7825
0.8107 0.7825 0.6090
0.2021 0.2175 0.3910
0.5932 0.6090 0.2175

PBE CeHPb, relaxed; E above lowest polymorph = 0.40 eV/f.u.; space-group type = C2/m, No. 12; theoretical density = 8.72 Mg/m³
1.0
3.6110 0.0000 0.0000
1.8055 3.0894 -0.4877
1.8055 -1.2598 12.0949
Ce H Pb
2 2 2
direct
0.8052 0.0281 0.3615
0.1948 0.9719 0.6385
0.6090 0.2243 0.5576
0.3910 0.7757 0.4424
0.3719 0.1264 0.1298
0.6281 0.8736 0.8702

PBE Ce4Pm2H2Pb3, relaxed; E_tot = -55.17 eV/cell; space-group type = I4/mmm, No. 139; theoretical density = 8.36 Mg/m³
1.0
-4.3653 0.8222 1.4725
0.2393 -3.7428 2.7991
6.8319 9.1338 7.7169
Ce Pm H Pb
4 2 2 3
direct
0.4151 0.9151 0.8303
0.9151 0.4151 0.8303
0.0849 0.5849 0.1697
0.5849 0.0849 0.1697
0.2993 0.2993 0.5985
0.7007 0.7007 0.4015
0.3898 0.3898 0.7796
0.6102 0.6102 0.2204
0.0000 0.0000 0.0000
0.1766 0.1766 0.3532
0.8234 0.8234 0.6468